Material: BeAl4Co5
Method: DFT, PBE
State: relaxed

Output
The value obtained for the total magnetic moment is 0.00 μB/cell. The total energy is -5.9649 eV per atom. As for the density: 6194 kg/m³. The calculated formation energy is -0.542 eV/atom.

Geometry as POSCAR:
```
BeAl4Co5
1.0
2.8098 0.0000 0.0000
0.0000 2.8098 0.0000
0.0000 0.0000 13.9783
Al Co Be
4 5 1
direct
0.0000 0.0000 0.6035
0.0000 0.0000 0.8119
0.0000 0.0000 0.1881
0.0000 0.0000 0.3965
0.5000 0.5000 0.9120
0.5000 0.5000 0.7057
0.5000 0.5000 0.0880
0.5000 0.5000 0.5000
0.5000 0.5000 0.2943
0.0000 0.0000 0.0000
```

=====

Material: Be3AlCo4
Method: DFT, PBE
State: relaxed

Output
The value obtained for the total magnetic moment is 1.30 μB/cell. The total energy is -5.7718 eV per atom. As for the density: 6330 kg/m³. The calculated formation energy is -0.354 eV/atom.

Geometry as POSCAR:
```
Be3AlCo4
1.0
3.7622 0.0000 0.0000
0.0000 5.3697 0.0000
0.0000 0.0000 7.5244
Al Co Be
2 8 6
direct
0.0000 0.5000 0.5000
0.0000 0.5000 0.0000
0.0000 0.2338 0.7500
0.5000 0.2338 0.5000
0.5000 0.2338 0.0000
0.0000 0.7662 0.2500
0.5000 0.7662 0.5000
0.0000 0.2338 0.2500
0.0000 0.7662 0.7500
0.5000 0.7662 0.0000
0.0000 0.0000 0.0000
0.4998 0.5000 0.2500
0.5000 0.0000 0.7500
0.0000 0.0000 0.5000
0.5000 0.0000 0.2500
0.5002 0.5000 0.7500
```

=====

Material: BeAl2Co
Method: DFT, PBE
State: relaxed

Output
The value obtained for the total magnetic moment is 0.50 μB/cell. The total energy is -4.7978 eV per atom. As for the density: 4207 kg/m³. The calculated formation energy is -0.219 eV/atom.

Geometry as POSCAR:
```
BeAl2Co
1.0
-0.8701 -1.1401 -2.5232
-0.8545 -2.4052 1.3814
-5.1835 2.2773 0.7585
Co Be Al
1 1 2
direct
0.5000 0.5000 0.7147
0.0000 0.0000 0.5377
0.0000 0.0000 0.9618
0.5000 0.5000 0.2858
```

=====

Material: BeAlCo
Method: DFT, PBE
State: relaxed

Output
The value obtained for the total magnetic moment is 0.00 μB/cell. The total energy is -5.1337 eV per atom. As for the density: 4818 kg/m³. The calculated formation energy is -0.275 eV/atom. The calculation puts the polymorph energy (0 for the lowest one) at 90 meV/atom.

Geometry as POSCAR:
```
BeAlCo
1.0
3.7697 0.0000 0.0000
-1.8848 3.2646 0.0000
0.0000 0.0000 2.6582
Be Co Al
1 1 1
direct
0.6667 0.3333 0.5000
0.3333 0.6667 0.5001
0.0000 0.0000 0.9999
```

=====

Material: Be2AlCo
Method: DFT, PBE
State: relaxed

Output
The value obtained for the total magnetic moment is 0.12 μB/cell. The total energy is -4.8175 eV per atom. As for the density: 4294 kg/m³. The calculated formation energy is -0.242 eV/atom.

Geometry as POSCAR:
```
Be2AlCo
1.0
4.3368 -0.0167 0.0049
3.2636 2.8561 0.0049
1.4988 0.5599 3.2325
Co Be Al
1 2 1
direct
0.5108 0.5108 0.4891
0.9875 0.9875 0.0124
0.2516 0.2516 0.2485
0.7501 0.7501 0.7500
```

=====

Material: BeAlCoCu
Method: DFT, PBE
State: relaxed

Output
The value obtained for the total magnetic moment is 0.00 μB/cell. The total energy is -4.9200 eV per atom. As for the density: 6016 kg/m³. The calculated formation energy is -0.252 eV/atom.

Geometry as POSCAR:
```
BeAlCoCu
1.0
-2.5734 1.6611 -2.5020
-1.5713 -2.1407 -2.9310
-3.8190 -1.0207 0.1244
Al Be Cu Co
1 1 1 1
direct
0.7500 0.7500 0.7500
0.2500 0.2500 0.2500
0.0000 0.0000 0.0000
0.5000 0.5000 0.5000
```

=====

Material: Er2Be2AlCo5
Method: DFT, PBE
State: relaxed

Output
The value obtained for the total magnetic moment is 0.36 μB/cell. The total energy is -5.8622 eV per atom. As for the density: 8704 kg/m³. The calculated formation energy is -0.277 eV/atom.

Geometry as POSCAR:
```
Er2Be2AlCo5
1.0
3.1122 0.0000 0.0000
0.0000 9.0913 0.0000
0.0000 0.0000 9.0913
Co Be Er Al
10 4 4 2
direct
0.5000 0.9353 0.2154
0.5000 0.5647 0.7154
0.5000 0.2846 0.5647
0.5000 0.0647 0.7846
0.5000 0.5000 0.0000
0.5000 0.0000 0.5000
0.5000 0.4353 0.2846
0.5000 0.7846 0.9353
0.5000 0.7154 0.4353
0.5000 0.2154 0.0647
0.0000 0.6179 0.8821
0.0000 0.3821 0.1179
0.0000 0.8821 0.3821
0.0000 0.1179 0.6179
0.0000 0.3216 0.8216
0.0000 0.8216 0.6784
0.0000 0.1784 0.3216
0.0000 0.6784 0.1784
0.0000 0.5000 0.5000
0.0000 0.0000 0.0000
```

=====

Material: Be2Al2GaCo5
Method: DFT, PBE
State: relaxed

Output
The value obtained for the total magnetic moment is 0.00 μB/cell. The total energy is -5.6380 eV per atom. As for the density: 6700 kg/m³. The calculated formation energy is -0.289 eV/atom.

Geometry as POSCAR:
```
Be2Al2GaCo5
1.0
2.8750 0.0000 0.0000
0.0000 8.6740 0.0000
0.0000 0.0000 8.6740
Co Ga Be Al
10 2 4 4
direct
0.5000 0.4291 0.2913
0.5000 0.7087 0.4291
0.5000 0.2913 0.5709
0.5000 0.0709 0.7913
0.5000 0.5709 0.7087
0.5000 0.9291 0.2087
0.5000 0.5000 0.0000
0.5000 0.0000 0.5000
0.5000 0.7913 0.9291
0.5000 0.2087 0.0709
0.0000 0.0000 0.0000
0.0000 0.5000 0.5000
0.0000 0.3753 0.1247
0.0000 0.6247 0.8753
0.0000 0.1247 0.6247
0.0000 0.8753 0.3753
0.0000 0.8263 0.6737
0.0000 0.3263 0.8263
0.0000 0.1737 0.3263
0.0000 0.6737 0.1737
```

=====

Material: Be2AlCoGe
Method: DFT, PBE
State: relaxed

Output
The value obtained for the total magnetic moment is 1.50 μB/cell. The total energy is -3.5311 eV per atom. As for the density: 3468 kg/m³. The calculated formation energy is 1.053 eV/atom.

Geometry as POSCAR:
```
Be2AlCoGe
1.0
-3.6693 -1.3697 0.9360
-0.2919 -2.3811 -4.6286
1.6435 -3.3101 1.5992
Co Be Ge Al
1 2 1 1
direct
0.5000 0.5000 0.5000
0.5000 0.0000 0.0000
0.0000 0.0000 0.5000
0.0000 0.0000 0.0000
0.0000 0.5000 0.0000
```

=====

Material: BeAlCo2Ge
Method: DFT, PBE
State: relaxed

Output
The value obtained for the total magnetic moment is 1.57 μB/cell. The total energy is -4.1770 eV per atom. As for the density: 4444 kg/m³. The calculated formation energy is 1.083 eV/atom.

Geometry as POSCAR:
```
BeAlCo2Ge
1.0
4.3224 0.0000 0.0000
0.0000 4.5294 0.0000
0.0000 0.0000 4.3224
Be Co Al Ge
1 2 1 1
direct
0.5000 0.5000 0.5000
0.0000 0.0000 0.5000
0.5000 0.0000 0.0000
0.0000 0.5000 0.0000
0.0000 0.0000 0.0000
```

=====

Material: Hf2Be2AlCo5
Method: DFT, PBE
State: relaxed

Output
The value obtained for the total magnetic moment is 0.03 μB/cell. The total energy is -7.1470 eV per atom. As for the density: 9673 kg/m³. The calculated formation energy is -0.484 eV/atom.

Geometry as POSCAR:
```
Hf2Be2AlCo5
1.0
3.0806 0.0000 0.0000
0.0000 8.8114 0.0000
0.0000 0.0000 8.8114
Be Co Al Hf
4 10 2 4
direct
0.0000 0.3815 0.1185
0.0000 0.8815 0.3815
0.0000 0.6185 0.8815
0.0000 0.1185 0.6185
0.5000 0.2849 0.5669
0.5000 0.5669 0.7151
0.5000 0.2151 0.0669
0.5000 0.0000 0.5000
0.5000 0.4331 0.2849
0.5000 0.7151 0.4331
0.5000 0.7849 0.9331
0.5000 0.0669 0.7849
0.5000 0.9331 0.2151
0.5000 0.5000 0.0000
0.0000 0.5000 0.5000
0.0000 0.0000 0.0000
0.0000 0.6773 0.1773
0.0000 0.1773 0.3227
0.0000 0.3227 0.8227
0.0000 0.8227 0.6773
```

=====

Material: LaBeAl2Co
Method: DFT, PBE
State: relaxed

Output
The value obtained for the total magnetic moment is 0.00 μB/cell. The total energy is -4.9679 eV per atom. As for the density: 4866 kg/m³. The calculated formation energy is -0.319 eV/atom.

Geometry as POSCAR:
```
LaBeAl2Co
1.0
-0.7971 3.0035 -3.2740
2.0641 -2.6952 -2.9750
-3.8074 -1.9571 -0.8685
Al La Co Be
2 1 1 1
direct
0.5000 0.0000 0.0000
0.0000 0.5000 0.0000
0.5000 0.5000 0.5000
0.0000 0.0000 0.0000
0.0000 0.0000 0.5000
```

=====

Material: LiBeAlCo
Method: DFT, PBE
State: relaxed

Output
The value obtained for the total magnetic moment is 0.00 μB/cell. The total energy is -4.2945 eV per atom. As for the density: 3835 kg/m³. The calculated formation energy is -0.172 eV/atom.

Geometry as POSCAR:
```
LiBeAlCo
1.0
-2.3098 2.8984 -1.4121
-3.7316 0.3690 1.2917
-1.0000 3.0510 2.3283
Be Co Li Al
1 1 1 1
direct
0.0000 0.0000 0.0000
0.7500 0.7500 0.7500
0.2500 0.2500 0.2500
0.5000 0.5000 0.5000
```

=====

Material: BeAlCo2Mo
Method: DFT, PBE
State: relaxed

Output
The value obtained for the total magnetic moment is 0.00 μB/cell. The total energy is -4.9335 eV per atom. As for the density: 4542 kg/m³. The calculated formation energy is 1.569 eV/atom.

Geometry as POSCAR:
```
BeAlCo2Mo
1.0
-0.8784 2.2069 -3.6819
1.8789 -3.5365 -2.5680
-3.9284 -1.9283 -0.2186
Al Mo Be Co
1 1 1 2
direct
0.0000 0.5000 0.0000
0.0000 0.0000 0.0000
0.5000 0.5000 0.5000
0.5000 0.0000 0.0000
0.0000 0.0000 0.5000
```

=====

Material: Be2Nb2AlCo5
Method: DFT, PBE
State: relaxed

Output
The value obtained for the total magnetic moment is 0.00 μB/cell. The total energy is -7.0214 eV per atom. As for the density: 7582 kg/m³. The calculated formation energy is -0.335 eV/atom.

Geometry as POSCAR:
```
Be2Nb2AlCo5
1.0
-1.7463 -1.6341 -1.9733
7.1189 -3.0140 -3.8042
0.0868 -6.6731 5.4494
Co Be Nb Al
10 4 4 2
direct
0.5000 0.0000 0.5000
0.5000 0.7855 0.9324
0.5000 0.5676 0.7145
0.5000 0.9324 0.2145
0.5000 0.7145 0.4324
0.5000 0.2145 0.0676
0.5000 0.5000 0.0000
0.5000 0.4324 0.2855
0.5000 0.2855 0.5676
0.5000 0.0676 0.7855
0.0000 0.8813 0.3813
0.0000 0.1187 0.6187
0.0000 0.6187 0.8813
0.0000 0.3813 0.1187
0.0000 0.8232 0.6768
0.0000 0.3232 0.8232
0.0000 0.6768 0.1768
0.0000 0.1768 0.3232
0.0000 0.0000 0.0000
0.0000 0.5000 0.5000
```

=====

Material: BeNbAlCo
Method: DFT, PBE
State: relaxed

Output
The value obtained for the total magnetic moment is 0.58 μB/cell. The total energy is -6.4195 eV per atom. As for the density: 6068 kg/m³. The calculated formation energy is -0.258 eV/atom.

Geometry as POSCAR:
```
BeNbAlCo
1.0
-2.2845 -3.0358 1.7272
1.7528 -2.6460 2.7101
-1.0035 0.1886 4.0467
Nb Co Be Al
1 1 1 1
direct
0.7500 0.7500 0.7500
0.5000 0.5000 0.5000
0.0000 0.0000 0.0000
0.2500 0.2500 0.2500
```

=====

Material: BeAlCoNi
Method: DFT, PBE
State: relaxed

Output
The value obtained for the total magnetic moment is 0.00 μB/cell. The total energy is -5.5613 eV per atom. As for the density: 6125 kg/m³. The calculated formation energy is -0.472 eV/atom.

Geometry as POSCAR:
```
BeAlCoNi
1.0
3.8907 0.0000 0.0000
1.9454 3.3695 0.0000
1.9454 1.1232 3.1768
Ni Co Al Be
1 1 1 1
direct
0.2500 0.2500 0.2500
0.7500 0.7500 0.7500
0.0000 0.0000 0.0000
0.5000 0.5000 0.5000
```

=====

Material: BeAl2CoP
Method: DFT, PBE
State: relaxed

Output
The value obtained for the total magnetic moment is 1.30 μB/cell. The total energy is -4.0050 eV per atom. As for the density: 3363 kg/m³. The calculated formation energy is 0.740 eV/atom.

Geometry as POSCAR:
```
BeAl2CoP
1.0
4.3573 0.0000 0.0000
0.0000 3.9762 0.0000
0.0000 0.0000 4.3573
Be Co Al P
1 1 2 1
direct
0.0000 0.0000 0.0000
0.5000 0.5000 0.5000
0.5000 0.0000 0.0000
0.0000 0.0000 0.5000
0.0000 0.5000 0.0000
```

=====

Material: Pa2Be2AlCo5
Method: DFT, PBE
State: relaxed

Output
The value obtained for the total magnetic moment is 0.00 μB/cell. The total energy is -6.9628 eV per atom. As for the density: 10122 kg/m³. The calculated formation energy is -0.391 eV/atom.

Geometry as POSCAR:
```
Pa2Be2AlCo5
1.0
3.3113 0.0000 0.0000
0.0000 8.9130 0.0000
0.0000 0.0000 8.9130
Be Co Al Pa
4 10 2 4
direct
0.0000 0.6139 0.8861
0.0000 0.1139 0.6139
0.0000 0.3861 0.1139
0.0000 0.8861 0.3861
0.5000 0.4291 0.2814
0.5000 0.9291 0.2186
0.5000 0.2814 0.5709
0.5000 0.7814 0.9291
0.5000 0.0709 0.7814
0.5000 0.5709 0.7186
0.5000 0.2186 0.0709
0.5000 0.0000 0.5000
0.5000 0.5000 0.0000
0.5000 0.7186 0.4291
0.0000 0.5000 0.5000
0.0000 0.0000 0.0000
0.0000 0.8192 0.6808
0.0000 0.1808 0.3192
0.0000 0.6808 0.1808
0.0000 0.3192 0.8192
```

=====

Material: Be2AlCoPd
Method: DFT, PBE
State: relaxed

Output
The value obtained for the total magnetic moment is 0.73 μB/cell. The total energy is -4.1559 eV per atom. As for the density: 4912 kg/m³. The calculated formation energy is 0.543 eV/atom.

Geometry as POSCAR:
```
Be2AlCoPd
1.0
3.9059 0.0000 0.0000
0.0000 4.6608 0.0000
0.0000 0.0000 3.9059
Be Co Al Pd
2 1 1 1
direct
0.0000 0.0000 0.5000
0.5000 0.0000 0.0000
0.0000 0.0000 0.0000
0.5000 0.5000 0.5000
0.0000 0.5000 0.0000
```